Crystalline CoPbSO at its relaxed geometry. Source: the Open Quantum Materials Database, functional PBE+U.

Geometry as extended XYZ:
```
8
Lattice="3.8303 0.0000 0.0000 -1.9151 3.3164 0.0000 0.0000 0.0000 12.0795" Properties=species:S:1:pos:R:3 pbc="T T T"
S 1.9151 1.1057 0.8670
Pb 0.0000 2.2102 3.2042
O 0.0000 0.0007 10.2205
Pb 1.9151 1.1061 9.2439
Co -1.9148 3.3158 6.0948
O 1.9151 3.3156 4.1808
S 0.0000 2.2107 6.9067
Co -0.0003 0.0005 0.0550
```

Output
The total magnetization comes out at 3.00 μB/f.u. The calculation puts the offset from the most stable computed form at 0.012 eV/atom.